# 1
A relaxed LaNi2IrC crystal. Source: Alexandria via LeMat-Bulk, functional PBE.

Computed properties:
As for the total energy: -6.986 eV per atom. The calculation puts the energy of formation at -0.071 eV/atom.

abc: 4.1833 4.1833 4.1324
angles: 90.00 90.00 90.00
Closest atoms and distances in Å follow each position.
Sites, in units of the cell vectors:
La1 0.0000 0.0000 0.0000  8 Ni 2.94, 4 Ir 2.96
Ni1 0.0000 0.5000 0.5000  2 C 2.09
Ni2 0.5000 0.0000 0.5000  2 C 2.09
Ir1 0.5000 0.5000 0.0000  2 C 2.07
C1 0.5000 0.5000 0.5000  2 Ir 2.07, 4 Ni 2.09

***

# 2
A relaxed ThBeCd crystal. Source: Alexandria via LeMat-Bulk, functional PBE.

Computed properties:
As for the total energy: -4.066 eV per atom. The calculation puts the energy of formation at -0.046 eV/atom.

abc: 8.5057 8.5057 3.8619
angles: 90.00 90.00 151.53
Closest atoms and distances in Å follow each position.
Sites, in units of the cell vectors:
Th1 0.0899 0.9101 0.7500  6 Be 2.92-2.99
Th2 0.9101 0.0899 0.2500  6 Be 2.92-2.99
Be1 0.4665 0.5335 0.7500  2 Be 2.22
Be2 0.5335 0.4665 0.2500  2 Be 2.22
Cd1 0.2962 0.7038 0.7500  1 Be 2.81
Cd2 0.7038 0.2962 0.2500  1 Be 2.81